An optimized crystal structure of CsNa2SrSn. Source: the Alexandria database, functional PBE-GGA.

Energy relative to the elements in kcal/mol of atoms: -1.91
Density of states at the Fermi level in states/eV per cell: 3.5
Theoretical density in Mg/m³: 2.478
Space group: No. 123
Crystal system: tetragonal

a = 6.302 Å, b = 6.302 Å, c = 6.499 Å
α = 90.00°, β = 90.00°, γ = 90.00°
Atoms (fractional coordinates):
Cs (0.000, 0.000, 0.000)
Na (0.000, 0.500, 0.500)
Na (0.500, 0.000, 0.500)
Sr (0.500, 0.500, 0.000)
Sn (0.500, 0.500, 0.500)

=====

An optimized crystal structure of Ba2ReRu. Source: the Alexandria database, functional PBE-GGA.

Energy relative to the elements in kcal/mol of atoms: 31.66
Density of states at the Fermi level in states/eV per cell: 28.8
Theoretical density in Mg/m³: 9.395
Space group: No. 216
Energy above the most stable polymorph in this dataset in eV per atom: 1.079
Crystal system: cubic

a = 7.351 Å, b = 7.351 Å, c = 7.351 Å
α = 90.00°, β = 90.00°, γ = 90.00°
Atoms (fractional coordinates):
Ba (0.000, 0.000, 0.000)
Ba (0.000, 0.500, 0.500)
Ba (0.250, 0.250, 0.250)
Ba (0.250, 0.750, 0.750)
Ba (0.500, 0.000, 0.500)
Ba (0.500, 0.500, 0.000)
Ba (0.750, 0.250, 0.750)
Ba (0.750, 0.750, 0.250)
Re (0.000, 0.000, 0.500)
Re (0.000, 0.500, 0.000)
Re (0.500, 0.000, 0.000)
Re (0.500, 0.500, 0.500)
Ru (0.250, 0.250, 0.750)
Ru (0.250, 0.750, 0.250)
Ru (0.750, 0.250, 0.250)
Ru (0.750, 0.750, 0.750)